1.
Here is Hf2ScAuN after structural relaxation from Alexandria via LeMat-Bulk. Energies are from PBE-GGA.

The structure in CIF format:
```
data_Hf2ScAuN
_chemical_formula_sum 'Hf2 Sc1 Au1 N1'
_cell_length_a 4.403
_cell_length_b 4.403
_cell_length_c 4.387
_cell_angle_alpha 90.00
_cell_angle_beta 90.00
_cell_angle_gamma 90.00
_symmetry_space_group_name_H-M 'P 1'
_symmetry_Int_Tables_number 1
loop_
_symmetry_equiv_pos_as_xyz
'x,y,z'
loop_
_atom_site_label
_atom_site_fract_x
_atom_site_fract_y
_atom_site_fract_z
Hf1 0.000 0.500 0.000
Hf2 0.500 0.000 0.000
Sc1 0.000 0.000 0.500
Au1 0.500 0.500 0.500
N1 0.000 0.000 0.000
```

Results
Total moment = 0.000 μB per atom
Calculated total energy = -43.069 eV/f.u.
Relative energy among the computed polymorphs = 0 meV/atom



2.
Here is HfAuSeN2 after structural relaxation from Alexandria via LeMat-Bulk. Energies are from PBE-GGA.

The structure in CIF format:
```
data_HfAuSeN2
_chemical_formula_sum 'Hf1 Au1 Se1 N2'
_cell_length_a 4.080
_cell_length_b 4.080
_cell_length_c 4.931
_cell_angle_alpha 90.00
_cell_angle_beta 90.00
_cell_angle_gamma 90.00
_symmetry_space_group_name_H-M 'P 1'
_symmetry_Int_Tables_number 1
loop_
_symmetry_equiv_pos_as_xyz
'x,y,z'
loop_
_atom_site_label
_atom_site_fract_x
_atom_site_fract_y
_atom_site_fract_z
Hf1 0.000 0.000 0.000
Au1 0.500 0.500 0.500
Se1 0.500 0.500 0.000
N1 0.000 0.500 0.500
N2 0.500 0.000 0.500
```

Results
Total moment = 0.001 μB per atom
Calculated total energy = -26.500 eV/f.u.
Relative energy among the computed polymorphs = 945 meV/atom



3.
Here is HfAuSe2N after structural relaxation from Alexandria via LeMat-Bulk. Energies are from PBE-GGA.

The structure in CIF format:
```
data_HfAuSe2N
_chemical_formula_sum 'Hf1 Au1 Se2 N1'
_cell_length_a 5.212
_cell_length_b 5.212
_cell_length_c 3.781
_cell_angle_alpha 90.00
_cell_angle_beta 90.00
_cell_angle_gamma 90.00
_symmetry_space_group_name_H-M 'P 1'
_symmetry_Int_Tables_number 1
loop_
_symmetry_equiv_pos_as_xyz
'x,y,z'
loop_
_atom_site_label
_atom_site_fract_x
_atom_site_fract_y
_atom_site_fract_z
Hf1 0.000 0.000 0.000
Au1 0.500 0.500 0.500
Se1 0.000 0.500 0.500
Se2 0.500 0.000 0.500
N1 0.500 0.500 0.000
```

Results
Total moment = 0.221 μB per atom
Calculated total energy = -24.347 eV/f.u.
Relative energy among the computed polymorphs = 697 meV/atom



4.
Here is HfAuSeN2 after structural relaxation from Alexandria via LeMat-Bulk. Energies are from PBE-GGA.

The structure in CIF format:
```
data_HfAuSeN2
_chemical_formula_sum 'Hf1 Au1 Se1 N2'
_cell_length_a 4.033
_cell_length_b 4.033
_cell_length_c 5.870
_cell_angle_alpha 90.00
_cell_angle_beta 90.00
_cell_angle_gamma 90.00
_symmetry_space_group_name_H-M 'P 1'
_symmetry_Int_Tables_number 1
loop_
_symmetry_equiv_pos_as_xyz
'x,y,z'
loop_
_atom_site_label
_atom_site_fract_x
_atom_site_fract_y
_atom_site_fract_z
Hf1 0.000 0.000 0.000
Au1 0.500 0.500 0.500
Se1 0.000 0.000 0.500
N1 0.000 0.500 0.000
N2 0.500 0.000 0.000
```

Results
Total moment = 0.000 μB per atom
Calculated total energy = -31.223 eV/f.u.
Relative energy among the computed polymorphs = 0 meV/atom



5.
Here is HfAuSe2N after structural relaxation from Alexandria via LeMat-Bulk. Energies are from PBE-GGA.

The structure in CIF format:
```
data_HfAuSe2N
_chemical_formula_sum 'Hf1 Au1 Se2 N1'
_cell_length_a 5.254
_cell_length_b 5.254
_cell_length_c 4.080
_cell_angle_alpha 90.00
_cell_angle_beta 90.00
_cell_angle_gamma 90.00
_symmetry_space_group_name_H-M 'P 1'
_symmetry_Int_Tables_number 1
loop_
_symmetry_equiv_pos_as_xyz
'x,y,z'
loop_
_atom_site_label
_atom_site_fract_x
_atom_site_fract_y
_atom_site_fract_z
Hf1 0.000 0.000 0.000
Au1 0.500 0.500 0.500
Se1 0.000 0.500 0.000
Se2 0.500 0.000 0.000
N1 0.000 0.000 0.500
```

Results
Total moment = 0.295 μB per atom
Calculated total energy = -27.832 eV/f.u.
Relative energy among the computed polymorphs = 0 meV/atom



6.
Here is Hf2SiAuN after structural relaxation from Alexandria via LeMat-Bulk. Energies are from PBE-GGA.

The structure in CIF format:
```
data_Hf2SiAuN
_chemical_formula_sum 'Hf2 Si1 Au1 N1'
_cell_length_a 5.148
_cell_length_b 5.148
_cell_length_c 3.410
_cell_angle_alpha 90.00
_cell_angle_beta 90.00
_cell_angle_gamma 90.00
_symmetry_space_group_name_H-M 'P 1'
_symmetry_Int_Tables_number 1
loop_
_symmetry_equiv_pos_as_xyz
'x,y,z'
loop_
_atom_site_label
_atom_site_fract_x
_atom_site_fract_y
_atom_site_fract_z
Hf1 0.000 0.500 0.000
Hf2 0.500 0.000 0.000
Si1 0.000 0.000 0.000
Au1 0.500 0.500 0.500
N1 0.000 0.000 0.500
```

Results
Total moment = 0.000 μB per atom
Calculated total energy = -35.315 eV/f.u.



7.
Here is Hf2TaAuN after structural relaxation from Alexandria via LeMat-Bulk. Energies are from PBE-GGA.

The structure in CIF format:
```
data_Hf2TaAuN
_chemical_formula_sum 'Hf2 Ta1 Au1 N1'
_cell_length_a 4.466
_cell_length_b 4.466
_cell_length_c 4.155
_cell_angle_alpha 90.00
_cell_angle_beta 90.00
_cell_angle_gamma 90.00
_symmetry_space_group_name_H-M 'P 1'
_symmetry_Int_Tables_number 1
loop_
_symmetry_equiv_pos_as_xyz
'x,y,z'
loop_
_atom_site_label
_atom_site_fract_x
_atom_site_fract_y
_atom_site_fract_z
Hf1 0.000 0.500 0.000
Hf2 0.500 0.000 0.000
Ta1 0.000 0.000 0.500
Au1 0.500 0.500 0.500
N1 0.000 0.000 0.000
```

Results
Total moment = 0.000 μB per atom
Calculated total energy = -47.340 eV/f.u.



8.
Here is HfTeAuN2 after structural relaxation from Alexandria via LeMat-Bulk. Energies are from PBE-GGA.

The structure in CIF format:
```
data_HfTeAuN2
_chemical_formula_sum 'Hf1 Te1 Au1 N2'
_cell_length_a 4.165
_cell_length_b 4.165
_cell_length_c 5.387
_cell_angle_alpha 90.00
_cell_angle_beta 90.00
_cell_angle_gamma 90.00
_symmetry_space_group_name_H-M 'P 1'
_symmetry_Int_Tables_number 1
loop_
_symmetry_equiv_pos_as_xyz
'x,y,z'
loop_
_atom_site_label
_atom_site_fract_x
_atom_site_fract_y
_atom_site_fract_z
Hf1 0.000 0.000 0.000
Te1 0.500 0.500 0.000
Au1 0.500 0.500 0.500
N1 0.000 0.500 0.500
N2 0.500 0.000 0.500
```

Results
Total moment = 0.224 μB per atom
Calculated total energy = -25.139 eV/f.u.
Relative energy among the computed polymorphs = 1202 meV/atom



| no. | formation energy (no corrections) (eV/atom) |
| --- | --- |
| 1 | -1.05 |
| 2 | 1.37 |
| 3 | 0.84 |
| 4 | 0.43 |
| 5 | 0.14 |
| 6 | 0.32 |
| 7 | -0.80 |
| 8 | 1.58 |